# 1
This record from Alexandria describes an optimized crystal structure of ScIr. The functional is PBE.

E_form: -0.532 eV/atom
Space-group type: Amm2, No. 38
DFT total energy: -8.13 eV per atom
Size of the total moment: 0.0 μB per formula unit

```
6
Lattice="3.077 0.000 0.000 0.000 5.601 3.442 0.000 -5.601 3.442" Properties=species:S:1:pos:R:3 pbc="T T T"
Sc 0.000 0.000 0.000
Sc 0.000 -1.862 3.433
Sc 0.000 1.862 3.433
Ir 1.538 -1.873 1.193
Ir 1.538 1.873 1.193
Ir 1.538 0.000 4.644
```

# 2
This record from Alexandria describes an optimized crystal structure of PbBr. The functional is PBE.

Space-group type: I-43m, No. 217
DFT total energy: -2.76 eV per atom
Size of the total moment: 0.5 μB per formula unit
Raw formation energy: -0.071 eV per atom

```
8
Lattice="-4.890 4.890 4.890 4.890 -4.890 4.890 4.890 4.890 -4.890" Properties=species:S:1:pos:R:3 pbc="T T T"
Pb 1.670 1.670 -1.670
Pb 1.670 -1.670 1.670
Pb -1.670 1.670 1.670
Pb 3.220 3.220 3.220
Br 3.509 3.509 -3.509
Br 3.509 -3.509 3.509
Br 1.381 1.381 1.381
Br -3.509 3.509 3.509
```

# 3
This record from Alexandria describes an optimized crystal structure of HgPPd3. The functional is PBE.

E_form: -0.171 eV/atom
Space-group type: Pm-3m, No. 221
DFT total energy: -4.43 eV per atom
ΔE to the lowest computed polymorph: 67 meV/atom
Size of the total moment: 0.0 μB per formula unit

```
5
Lattice="4.510 0.000 0.000 0.000 4.510 0.000 0.000 0.000 4.510" Properties=species:S:1:pos:R:3 pbc="T T T"
Hg 0.000 0.000 0.000
P 2.255 2.255 2.255
Pd 0.000 2.255 2.255
Pd 2.255 0.000 2.255
Pd 2.255 2.255 0.000
```

# 4
This record from Alexandria describes an optimized crystal structure of Tb8Mg2Tc. The functional is PBE.

E_form: -0.002 eV/atom
Space-group type: C2/m, No. 12
DFT total energy: -4.60 eV per atom
Size of the total moment: 0.0 μB per formula unit

```
11
Lattice="8.696 -2.781 0.000 8.696 2.781 0.000 -2.492 0.000 6.587" Properties=species:S:1:pos:R:3 pbc="T T T"
Tb -0.445 0.000 1.822
Tb 1.479 0.000 4.850
Tb 4.774 0.000 3.847
Tb 6.629 0.000 0.661
Tb 8.270 0.000 5.926
Tb 10.125 0.000 2.740
Tb 13.421 0.000 1.737
Tb 15.344 0.000 4.765
Mg 2.793 0.000 1.253
Mg 12.107 0.000 5.334
Tc 7.450 0.000 3.293
```

# 5
This record from Alexandria describes an optimized crystal structure of MgAs. The functional is PBE.

E_form: -0.364 eV/atom
Space-group type: Imm2, No. 44
DFT total energy: -3.49 eV per atom
ΔE to the lowest computed polymorph: 54 meV/atom
Size of the total moment: 0.0 μB per formula unit

```
2
Lattice="-1.561 1.942 3.806 1.561 -1.942 3.806 1.561 1.942 -3.806" Properties=species:S:1:pos:R:3 pbc="T T T"
Mg 0.000 0.000 0.000
As 0.000 0.000 2.628
```

# 6
This record from Alexandria describes an optimized crystal structure of Ti6PN2. The functional is PBE.

Space-group type: C2/m, No. 12
DFT total energy: -8.71 eV per atom
Size of the total moment: 0.0 μB per formula unit
Raw formation energy: -0.999 eV per atom

```
9
Lattice="4.983 -2.008 0.000 4.983 2.008 0.000 -3.130 0.000 6.455" Properties=species:S:1:pos:R:3 pbc="T T T"
Ti -0.422 0.000 1.237
Ti 0.187 0.000 5.940
Ti 2.068 0.000 2.648
Ti 4.768 0.000 3.807
Ti 6.649 0.000 0.515
Ti 7.258 0.000 5.218
P -1.565 0.000 3.227
N 1.514 0.000 0.563
N 5.322 0.000 5.892
```

# 7
This record from Alexandria describes an optimized crystal structure of Rb2BiPdI6. The functional is PBE.

Space-group type: I4/mmm, No. 139
DFT total energy: -2.78 eV per atom
Size of the total moment: 0.0 μB per formula unit
Raw formation energy: -0.753 eV per atom

```
10
Lattice="-4.223 4.223 5.924 4.223 -4.223 5.924 4.223 4.223 -5.924" Properties=species:S:1:pos:R:3 pbc="T T T"
Rb 4.223 0.000 2.962
Rb 0.000 4.223 2.962
Bi 0.000 0.000 0.000
Pd 0.000 0.000 5.924
I 2.197 2.197 0.000
I 2.025 -2.025 5.924
I 0.000 0.000 3.099
I 0.000 0.000 8.748
I -2.025 2.025 5.924
I 2.025 2.025 5.924
```

# 8
This record from Alexandria describes an optimized crystal structure of Co3ReRh. The functional is PBE.

E_form: 1.596 eV/atom
Space-group type: Pm-3m, No. 221
DFT total energy: -6.63 eV per atom
ΔE to the lowest computed polymorph: 0 meV/atom
Size of the total moment: 3.1 μB per formula unit

```
5
Lattice="4.375 0.000 0.000 0.000 4.375 0.000 0.000 0.000 4.375" Properties=species:S:1:pos:R:3 pbc="T T T"
Co 0.000 0.000 2.187
Co 0.000 2.187 0.000
Co 2.187 0.000 0.000
Re 0.000 0.000 0.000
Rh 2.187 2.187 2.187
```

# 9
This record from Alexandria describes an optimized crystal structure of MgZrScTc. The functional is PBE.

E_form: -0.139 eV/atom
Space-group type: F-43m, No. 216
DFT total energy: -6.85 eV per atom
ΔE to the lowest computed polymorph: 76 meV/atom
Size of the total moment: 0.0 μB per formula unit

```
4
Lattice="0.000 3.375 3.375 3.375 0.000 3.375 3.375 3.375 0.000" Properties=species:S:1:pos:R:3 pbc="T T T"
Mg 0.000 0.000 0.000
Zr 5.062 5.062 5.062
Sc 1.687 1.687 1.687
Tc 3.375 3.375 3.375
```

# 10
This record from Alexandria describes an optimized crystal structure of Be2CoRe. The functional is PBE.

E_form: -0.080 eV/atom
Space-group type: Amm2, No. 38
DFT total energy: -6.83 eV per atom
ΔE to the lowest computed polymorph: 83 meV/atom
Size of the total moment: 0.6 μB per formula unit

```
4
Lattice="3.625 0.000 0.000 0.000 1.298 4.397 0.000 -1.298 4.397" Properties=species:S:1:pos:R:3 pbc="T T T"
Be 0.000 0.000 0.000
Be 1.812 0.000 1.104
Co 0.000 0.000 6.372
Re 1.812 0.000 3.407
```

# 11
This record from Alexandria describes an optimized crystal structure of BeFeCo2. The functional is PBE.

E_form: -0.032 eV/atom
Space-group type: R-3m, No. 166
DFT total energy: -6.63 eV per atom
Size of the total moment: 4.8 μB per formula unit

```
4
Lattice="1.239 0.715 7.705 -1.239 0.715 7.705 0.000 -1.431 7.705" Properties=species:S:1:pos:R:3 pbc="T T T"
Be 0.000 0.000 0.000
Fe 0.000 0.000 11.557
Co 0.000 0.000 5.899
Co 0.000 0.000 17.215
```

# 12
This record from Alexandria describes an optimized crystal structure of MgP. The functional is PBE.

E_form: 0.282 eV/atom
Space-group type: P6_3/mmc, No. 194
DFT total energy: -3.22 eV per atom
ΔE to the lowest computed polymorph: 802 meV/atom
Size of the total moment: 0.0 μB per formula unit

```
8
Lattice="4.881 0.000 0.000 -2.441 4.227 0.000 0.000 0.000 7.693" Properties=species:S:1:pos:R:3 pbc="T T T"
Mg 0.000 0.000 1.923
Mg 0.000 0.000 5.769
Mg 0.000 2.818 1.923
Mg 2.441 1.409 5.769
P 0.000 2.818 4.662
P 0.000 2.818 6.877
P 2.441 1.409 0.815
P 2.441 1.409 3.031
```

# 13
This record from Alexandria describes an optimized crystal structure of SnAu2N. The functional is PBE.

Space-group type: I-42d, No. 122
DFT total energy: -4.07 eV per atom
ΔE to the lowest computed polymorph: 0 meV/atom
Size of the total moment: 0.0 μB per formula unit
Raw formation energy: 0.647 eV per atom

```
8
Lattice="-2.632 2.632 6.163 2.632 -2.632 6.163 2.632 2.632 -6.163" Properties=species:S:1:pos:R:3 pbc="T T T"
Sn 0.000 0.000 0.000
Sn 0.000 2.632 3.081
Au 1.316 -0.483 4.622
Au 2.148 1.316 1.541
Au 1.316 3.115 -1.541
Au 0.483 1.316 7.703
N 2.632 0.000 3.081
N 0.000 0.000 6.163
```